[1]
# GGA-PBE InIr2Pb2, relaxed
# energy relative to the elements	0.4528	eV/atom
# DOS(E_F)	4.3	states/eV/f.u.
# raw total energy	-51.23	eV per cell
data_InIr2Pb2
_chemical_formula_sum 'In2 Ir4 Pb4'
_symmetry_space_group_name_H-M 'I 4/m m m'
_symmetry_Int_Tables_number 139
_symmetry_space_group_name_Hall '-I 4 2'
_cell_length_a 4.6589
_cell_length_b 4.6589
_cell_length_c 11.1982
_cell_angle_alpha 90.00
_cell_angle_beta 90.00
_cell_angle_gamma 90.00
loop_
_atom_site_label
_atom_site_type_symbol
_atom_site_fract_x
_atom_site_fract_y
_atom_site_fract_z
In1 In 0.0000 0.0000 0.0000
Ir1 Ir 0.0000 0.0000 0.3907
Pb1 Pb 0.0000 0.5000 0.2500


[2]
# GGA-PBE MgBe2Tc2, relaxed
# energy relative to the elements	0.1915	eV/atom
# DOS(E_F)	2.9	states/eV/f.u.
# excess energy over the best structure of this formula in the dataset	6.105	kcal/mol of atoms
# raw total energy	-57.64	eV per cell
data_MgBe2Tc2
_chemical_formula_sum 'Mg2 Be4 Tc4'
_symmetry_space_group_name_H-M 'P 4/m b m'
_symmetry_Int_Tables_number 127
_symmetry_space_group_name_Hall '-P 4 2ab'
_cell_length_a 6.8552
_cell_length_b 6.8552
_cell_length_c 2.8852
_cell_angle_alpha 90.00
_cell_angle_beta 90.00
_cell_angle_gamma 90.00
loop_
_atom_site_label
_atom_site_type_symbol
_atom_site_fract_x
_atom_site_fract_y
_atom_site_fract_z
Mg1 Mg 0.0000 0.0000 0.0000
Be1 Be 0.1723 0.3277 0.5000
Tc1 Tc 0.1194 0.6194 0.0000


[3]
# GGA-PBE InSi2P, relaxed
# E_form (uncorrected)	0.429	eV per atom
# DOS(E_F)	1.7	states/eV/f.u.
# excess energy over the best structure of this formula in the dataset	7.079	kcal/mol of atoms
# raw total energy	-34.55	eV per cell
data_InSi2P
_chemical_formula_sum 'In2 Si4 P2'
_symmetry_space_group_name_H-M 'I m m m'
_symmetry_Int_Tables_number 71
_symmetry_space_group_name_Hall '-I 2 2'
_cell_length_a 3.2969
_cell_length_b 5.1081
_cell_length_c 8.6837
_cell_angle_alpha 90.00
_cell_angle_beta 90.00
_cell_angle_gamma 90.00
loop_
_atom_site_label
_atom_site_type_symbol
_atom_site_fract_x
_atom_site_fract_y
_atom_site_fract_z
In1 In 0.0000 0.0000 0.0000
Si1 Si 0.0000 0.5000 0.2056
P1 P 0.0000 0.0000 0.5000


[4]
# GGA-PBE PmSm5Cd3, relaxed
# energy relative to the elements	-0.1690	eV/atom
# DOS(E_F)	9.7	states/eV/f.u.
# raw total energy	-65.23	eV per cell
data_PmSm5Cd3
_chemical_formula_sum 'Pm2 Sm10 Cd6'
_symmetry_space_group_name_H-M 'P 63/m c m'
_symmetry_Int_Tables_number 193
_symmetry_space_group_name_Hall '-P 6c 2'
_cell_length_a 9.3824
_cell_length_b 9.3824
_cell_length_c 7.0612
_cell_angle_alpha 90.00
_cell_angle_beta 90.00
_cell_angle_gamma 120.00
loop_
_atom_site_label
_atom_site_type_symbol
_atom_site_fract_x
_atom_site_fract_y
_atom_site_fract_z
Pm1 Pm 0.0000 0.0000 0.0000
Sm1 Sm 0.0000 0.3329 0.2500
Sm2 Sm 0.3333 0.6667 0.0000
Cd1 Cd 0.0000 0.3345 0.7500


[5]
# GGA-PBE Li3Hg2F7, relaxed
# E_form (uncorrected)	-2.152	eV per atom
# DOS(E_F)	0.0	states/eV/f.u.
# raw total energy	-181.09	eV per cell
data_Li3Hg2F7
_chemical_formula_sum 'Li12 Hg8 F28'
_symmetry_space_group_name_H-M 'C m c 21'
_symmetry_Int_Tables_number 36
_symmetry_space_group_name_Hall 'C 2c -2'
_cell_length_a 21.0345
_cell_length_b 5.6920
_cell_length_c 5.3809
_cell_angle_alpha 90.00
_cell_angle_beta 90.00
_cell_angle_gamma 90.00
loop_
_atom_site_label
_atom_site_type_symbol
_atom_site_fract_x
_atom_site_fract_y
_atom_site_fract_z
Li1 Li 0.0000 0.1991 0.0000
Li2 Li 0.2192 0.3182 0.0256
Hg1 Hg 0.1068 0.2462 0.5101
F1 F 0.0000 0.1051 0.3416
F2 F 0.0673 0.3737 0.8534
F3 F 0.1510 0.1313 0.1697
F4 F 0.2133 0.3709 0.6684


[6]
# GGA-PBE Ag3Rh, relaxed
# energy relative to the elements	0.1645	eV/atom
# DOS(E_F)	3.3	states/eV/f.u.
# raw total energy	-45.74	eV per cell
data_Ag3Rh
_chemical_formula_sum 'Ag9 Rh3'
_symmetry_space_group_name_H-M 'R -3 m'
_symmetry_Int_Tables_number 166
_symmetry_space_group_name_Hall '-R 3 2"'
_cell_length_a 2.8414
_cell_length_b 2.8414
_cell_length_c 28.8363
_cell_angle_alpha 90.00
_cell_angle_beta 90.00
_cell_angle_gamma 120.00
loop_
_atom_site_label
_atom_site_type_symbol
_atom_site_fract_x
_atom_site_fract_y
_atom_site_fract_z
Ag1 Ag 0.0000 0.0000 0.0000
Ag2 Ag 0.0000 0.0000 0.2475
Rh1 Rh 0.0000 0.0000 0.5000


> Among the records above, which one has the highest raw total energy?

InSi2P


> Which formula does entry 6 have?

Ag3Rh


> Which value of raw total energy does entry 5 give?

-181.09 eV per cell